[1]
NiAgO2 (GGA+U, relaxed); final energy = -4.32 eV per atom; symmetry = C2/m (12)
1.0
5.564 -1.468 0.000
5.564 1.468 0.000
-1.247 0.000 6.302
Ni Ag O
2 2 4
direct
0.140 0.140 0.399 Ni
0.860 0.860 0.601 Ni
0.365 0.365 0.091 Ag
0.635 0.635 0.909 Ag
0.324 0.324 0.396 O
0.417 0.417 0.792 O
0.583 0.583 0.208 O
0.676 0.676 0.604 O



[2]
NiAgO3 (GGA+U, relaxed); final energy = -3.18 eV per atom; symmetry = Pm-3m (221)
1.0
3.947 0.000 0.000
0.000 3.947 0.000
0.000 0.000 3.947
Ni Ag O
1 1 3
direct
0.000 0.000 0.000 Ni
0.500 0.500 0.500 Ag
0.000 0.500 0.500 O
0.500 0.000 0.500 O
0.500 0.500 0.000 O



[3]
NiAgO2 (GGA+U, relaxed); final energy = -4.40 eV per atom; symmetry = R-3m (166)
1.0
1.498 0.865 6.157
-1.498 0.865 6.157
0.000 -1.729 6.157
Ni Ag O
1 1 2
direct
0.000 0.000 0.000 Ni
0.500 0.500 0.500 Ag
0.388 0.388 0.388 O
0.612 0.612 0.612 O



[4]
NiAgO2 (GGA+U, relaxed); final energy = -3.50 eV per atom; symmetry = Fm-3m (225)
1.0
0.000 2.776 2.776
2.776 0.000 2.776
2.776 2.776 0.000
Ni Ag O
1 1 2
direct
0.000 0.000 0.000 Ni
0.500 0.500 0.500 Ag
0.250 0.250 0.250 O
0.750 0.750 0.750 O



[5]
NiAgO3 (GGA+U, relaxed); final energy = -3.93 eV per atom; symmetry = Pm-3m (221)
1.0
3.738 0.000 0.000
0.000 3.738 0.000
0.000 0.000 3.738
Ni Ag O
1 1 3
direct
0.000 0.000 0.000 Ni
0.500 0.500 0.500 Ag
0.000 0.000 0.500 O
0.000 0.500 0.000 O
0.500 0.000 0.000 O



[6]
NiAgO2 (GGA+U, relaxed); final energy = -4.40 eV per atom; symmetry = P6_3/mmc (194)
1.0
2.999 0.000 0.000
-1.500 2.598 0.000
0.000 0.000 12.308
Ni Ag O
2 2 4
direct
0.000 0.000 0.000 Ni
0.000 0.000 0.500 Ni
0.333 0.667 0.250 Ag
0.667 0.333 0.750 Ag
0.333 0.667 0.082 O
0.333 0.667 0.418 O
0.667 0.333 0.582 O
0.667 0.333 0.918 O



[7]
Ni3AgO (GGA+U, relaxed); E above lowest polymorph = 1654.2 meV per atom; symmetry = Pm-3m (221)
1.0
4.763 0.000 0.000
0.000 4.763 0.000
0.000 0.000 4.763
Ni Ag O
3 1 1
direct
0.000 0.000 0.500 Ni
0.000 0.500 0.000 Ni
0.500 0.000 0.000 Ni
0.000 0.000 0.000 Ag
0.500 0.500 0.500 O



[8]
Ni2Ag3O4 (GGA+U, relaxed); final energy = -4.21 eV per atom; symmetry = P6_3/mmc (194)
1.0
3.011 0.000 0.000
-1.505 2.607 0.000
0.000 0.000 28.031
Ni Ag O
4 6 8
direct
0.333 0.667 0.141 Ni
0.333 0.667 0.359 Ni
0.667 0.333 0.641 Ni
0.667 0.333 0.859 Ni
0.333 0.667 0.541 Ag
0.333 0.667 0.750 Ag
0.333 0.667 0.959 Ag
0.667 0.333 0.041 Ag
0.667 0.333 0.250 Ag
0.667 0.333 0.459 Ag
0.000 0.000 0.102 O
0.000 0.000 0.398 O
0.000 0.000 0.602 O
0.000 0.000 0.898 O
0.333 0.667 0.676 O
0.333 0.667 0.824 O
0.667 0.333 0.176 O
0.667 0.333 0.324 O



[9]
NiAgO2 (GGA+U, relaxed); final energy = -3.89 eV per atom; symmetry = R-3m (166)
1.0
1.682 0.971 5.796
-1.682 0.971 5.796
0.000 -1.943 5.796
Ni Ag O
1 1 2
direct
0.000 0.000 0.000 Ni
0.500 0.500 0.500 Ag
0.100 0.100 0.100 O
0.900 0.900 0.900 O



[10]
Ni2AgO2 (GGA+U, relaxed); final energy = -3.95 eV per atom; symmetry = Fddd (70)
1.0
0.000 4.207 4.592
3.347 0.000 4.592
3.347 4.207 0.000
Ni Ag O
4 2 4
direct
0.050 0.700 0.050 Ni
0.300 0.950 0.300 Ni
0.700 0.050 0.700 Ni
0.950 0.300 0.950 Ni
0.375 0.375 0.375 Ag
0.625 0.625 0.625 Ag
0.030 0.030 0.720 O
0.280 0.280 0.970 O
0.720 0.720 0.030 O
0.970 0.970 0.280 O



[11]
NiAg3O (GGA+U, relaxed); E above lowest polymorph = 0.0 meV per atom; symmetry = Pm-3m (221)
1.0
4.366 0.000 0.000
0.000 4.366 0.000
0.000 0.000 4.366
Ni Ag O
1 3 1
direct
0.000 0.000 0.000 Ni
0.000 0.500 0.500 Ag
0.500 0.000 0.500 Ag
0.500 0.500 0.000 Ag
0.500 0.500 0.500 O



[12]
NiAgO2 (GGA+U, relaxed); final energy = -4.14 eV per atom; symmetry = I-42d (122)
1.0
-2.522 2.522 4.318
2.522 -2.522 4.318
2.522 2.522 -4.318
Ni Ag O
2 2 4
direct
0.000 0.000 0.000 Ni
0.750 0.250 0.500 Ni
0.250 0.750 0.500 Ag
0.500 0.500 0.000 Ag
0.048 0.625 0.923 O
0.375 0.298 0.423 O
0.702 0.125 0.077 O
0.875 0.952 0.577 O



[13]
NiAg3O (GGA+U, relaxed); E above lowest polymorph = 642.4 meV per atom; symmetry = Pm-3m (221)
1.0
4.736 0.000 0.000
0.000 4.736 0.000
0.000 0.000 4.736
Ni Ag O
1 3 1
direct
0.000 0.000 0.000 Ni
0.000 0.000 0.500 Ag
0.000 0.500 0.000 Ag
0.500 0.000 0.000 Ag
0.500 0.500 0.500 O



[14]
NiAgO (GGA+U, relaxed); final energy = -3.96 eV per atom; symmetry = Pnma (62)
1.0
18.027 0.000 0.000
0.000 2.929 0.000
0.000 0.000 2.928
Ni Ag O
4 4 4
direct
0.189 0.250 0.241 Ni
0.311 0.750 0.741 Ni
0.689 0.250 0.259 Ni
0.811 0.750 0.759 Ni
0.055 0.750 0.749 Ag
0.445 0.250 0.249 Ag
0.555 0.750 0.751 Ag
0.945 0.250 0.251 Ag
0.192 0.750 0.741 O
0.308 0.250 0.241 O
0.692 0.750 0.759 O
0.808 0.250 0.259 O



[15]
NiAg2O (GGA+U, relaxed); final energy = -3.11 eV per atom; symmetry = I-42d (122)
1.0
-4.190 4.190 1.876
4.190 -4.190 1.876
4.190 4.190 -1.876
Ni Ag O
2 4 2
direct
0.000 0.000 0.000 Ni
0.750 0.250 0.500 Ni
0.250 0.625 0.125 Ag
0.375 0.500 0.625 Ag
0.500 0.125 0.875 Ag
0.875 0.750 0.375 Ag
0.250 0.750 0.500 O
0.500 0.500 0.000 O



[16]
NiAgO2 (GGA+U, relaxed); final energy = -4.34 eV per atom; symmetry = C2/c (15)
1.0
6.318 -1.491 0.000
6.318 1.491 0.000
-1.727 0.000 5.090
Ni Ag O
2 2 4
direct
0.000 0.500 0.000 Ni
0.500 0.000 0.500 Ni
0.000 0.000 0.000 Ag
0.000 0.000 0.500 Ag
0.052 0.616 0.390 O
0.384 0.948 0.110 O
0.616 0.052 0.890 O
0.948 0.384 0.610 O



[17]
Ni3AgO (GGA+U, relaxed); E above lowest polymorph = 0.0 meV per atom; symmetry = Pm-3m (221)
1.0
3.964 0.000 0.000
0.000 3.964 0.000
0.000 0.000 3.964
Ni Ag O
3 1 1
direct
0.000 0.000 0.500 Ni
0.000 0.500 0.000 Ni
0.500 0.000 0.000 Ni
0.500 0.500 0.500 Ag
0.000 0.000 0.000 O



[18]
NiAgO2 (GGA+U, relaxed); final energy = -4.30 eV per atom; symmetry = R3m (160)
1.0
1.494 0.863 5.732
-1.494 0.863 5.732
0.000 -1.725 5.732
Ni Ag O
1 1 2
direct
0.000 0.000 0.000 Ni
0.168 0.168 0.168 Ag
0.395 0.395 0.395 O
0.605 0.605 0.605 O



[19]
Ni2AgOsO6 (GGA+U, relaxed); final energy = -5.69 eV per atom; symmetry = R3 (146)
1.0
2.629 1.518 4.773
-2.629 1.518 4.773
0.000 -3.036 4.773
Ni Ag Os O
2 1 1 6
direct
0.000 0.000 0.000 Ni
0.492 0.492 0.492 Ni
0.285 0.285 0.285 Ag
0.800 0.800 0.800 Os
0.058 0.422 0.732 O
0.188 0.853 0.630 O
0.422 0.732 0.058 O
0.630 0.188 0.853 O
0.732 0.058 0.422 O
0.853 0.630 0.188 O



[20]
NiAgOs2O (GGA+U, relaxed); final energy = -4.15 eV per atom; symmetry = P4/mmm (123)
1.0
4.457 0.000 0.000
0.000 4.457 0.000
0.000 0.000 4.748
Ni Ag Os O
1 1 2 1
direct
0.000 0.000 0.000 Ni
0.000 0.000 0.500 Ag
0.000 0.500 0.000 Os
0.500 0.000 0.000 Os
0.500 0.500 0.500 O



[21]
Ni2Ag2OsO6 (GGA+U, relaxed); final energy = -5.42 eV per atom; symmetry = C2/m (12)
1.0
2.622 -4.614 0.000
2.622 4.614 0.000
-1.315 0.000 6.309
Ni Ag Os O
2 2 1 6
direct
0.167 0.833 0.000 Ni
0.833 0.167 0.000 Ni
0.335 0.665 0.500 Ag
0.665 0.335 0.500 Ag
0.500 0.500 0.000 Os
0.151 0.151 0.844 O
0.228 0.547 0.167 O
0.453 0.772 0.833 O
0.547 0.228 0.167 O
0.772 0.453 0.833 O
0.849 0.849 0.156 O



[22]
NiAgPO4 (GGA+U, relaxed); final energy = -5.79 eV per atom; symmetry = P2_1/m (11)
1.0
5.289 0.000 0.000
0.000 5.544 0.000
-2.099 0.000 6.467
Ni Ag P O
2 2 2 8
direct
0.223 0.250 0.006 Ni
0.777 0.750 0.994 Ni
0.385 0.750 0.390 Ag
0.615 0.250 0.610 Ag
0.236 0.750 0.848 P
0.764 0.250 0.152 P
0.052 0.526 0.814 O
0.052 0.974 0.814 O
0.435 0.750 0.075 O
0.437 0.750 0.721 O
0.563 0.250 0.279 O
0.565 0.250 0.925 O
0.948 0.026 0.186 O
0.948 0.474 0.186 O



[23]
NiAgP2O (GGA+U, relaxed); E above lowest polymorph = 0.0 meV per atom; symmetry = P4/mmm (123)
1.0
4.665 0.000 0.000
0.000 4.665 0.000
0.000 0.000 3.440
Ni Ag P O
1 1 2 1
direct
0.000 0.000 0.000 Ni
0.500 0.500 0.500 Ag
0.000 0.500 0.000 P
0.500 0.000 0.000 P
0.000 0.000 0.500 O



[24]
NiAgP2O6 (GGA+U, relaxed); final energy = -5.93 eV per atom; symmetry = R-3 (148)
1.0
2.593 1.497 5.692
-2.593 1.497 5.692
0.000 -2.994 5.692
Ni Ag P O
1 1 2 6
direct
0.000 0.000 0.000 Ni
0.500 0.500 0.500 Ag
0.250 0.250 0.250 P
0.750 0.750 0.750 P
0.006 0.775 0.428 O
0.225 0.572 0.994 O
0.428 0.006 0.775 O
0.572 0.994 0.225 O
0.775 0.428 0.006 O
0.994 0.225 0.572 O



[25]
NiAgP2O (GGA+U, relaxed); E above lowest polymorph = 677.5 meV per atom; symmetry = P4/mmm (123)
1.0
4.850 0.000 0.000
0.000 4.850 0.000
0.000 0.000 3.928
Ni Ag P O
1 1 2 1
direct
0.000 0.000 0.000 Ni
0.500 0.500 0.500 Ag
0.000 0.500 0.500 P
0.500 0.000 0.500 P
0.500 0.500 0.000 O